First-principles (PBE) data for an optimized crystal structure of NaSc2TlSb, as listed in Alexandria via LeMat-Bulk.

CIF file:
```
data_NaSc2TlSb
_cell_length_a 5.215
_cell_length_b 5.225
_cell_length_c 5.215
_cell_angle_alpha 90.00
_cell_angle_beta 90.00
_cell_angle_gamma 90.00
_space_group_name_H-M_alt 'P 1'
_space_group_IT_number 1
_space_group_name_Hall 'P 1'
loop_
_atom_site_label
_atom_site_fract_x
_atom_site_fract_y
_atom_site_fract_z
_atom_site_occupancy
Tl1 0.500 0.500 0.500 1
Sc1 0.000 0.000 0.500 1
Sc2 0.500 0.000 0.000 1
Na1 0.000 0.000 0.000 1
Sb1 0.000 0.500 0.000 1
```

Its formation energy from raw total energies is 318 kJ/mol of formula units. For the volume, the calculation gives 142.08 Å³/cell.